No. 1
# NdSmMgPa

NdSmMgPa after structural relaxation (PBE, the Alexandria database).

Magnetization in μB per formula unit: 0.0
ΔH_f (0 K) in kJ per mole of atoms: 33
Calculated density in Mg/m³: 7.885

a = 5.4713 Å, b = 5.4713 Å, c = 5.4713 Å
α = 60.00°, β = 60.00°, γ = 60.00°
Fractional coordinates of all 4 atoms:
Nd1 0.0000 0.0000 0.0000
Sm1 0.5000 0.5000 0.5000
Mg1 0.2500 0.2500 0.2500
Pa1 0.7500 0.7500 0.7500

=====

No. 2
# AcPmBi2O8

AcPmBi2O8 after structural relaxation (PBE, the Alexandria database).

Magnetization in μB per formula unit: 0.0
Formation energy from raw total energies in eV/f.u.: -23.196
Calculated density in Mg/m³: 8.213

a = 7.1155 Å, b = 7.1155 Å, c = 7.1155 Å
α = 133.62°, β = 133.62°, γ = 67.68°
Fractional coordinates of all 12 atoms:
Ac1 0.0000 0.0000 0.0000
Pm1 0.2500 0.7500 0.5000
Bi1 0.5000 0.5000 0.0000
Bi2 0.7500 0.2500 0.5000
O1 0.0373 0.0932 0.4509
O2 0.2264 0.6571 0.0743
O3 0.3429 0.4172 0.5693
O4 0.4136 0.9627 0.0559
O5 0.5828 0.1521 0.9257
O6 0.6423 0.5864 0.5491
O7 0.8479 0.7736 0.4307
O8 0.9068 0.3577 0.9441

=====

No. 3
# U2CdPd9

U2CdPd9 after structural relaxation (PBE, the Alexandria database).

Magnetization in μB per formula unit: 3.2
ΔH_f (0 K) in kJ per mole of atoms: -47
Calculated density in Mg/m³: 12.407

a = 4.1158 Å, b = 4.1158 Å, c = 12.2168 Å
α = 90.00°, β = 90.00°, γ = 90.00°
Fractional coordinates of all 12 atoms:
U1 0.0000 0.0000 0.1736
U2 0.0000 0.0000 0.8264
Cd1 0.0000 0.0000 0.5000
Pd1 0.0000 0.5000 0.0000
Pd2 0.0000 0.5000 0.3318
Pd3 0.0000 0.5000 0.6682
Pd4 0.5000 0.0000 0.0000
Pd5 0.5000 0.0000 0.3318
Pd6 0.5000 0.0000 0.6682
Pd7 0.5000 0.5000 0.1665
Pd8 0.5000 0.5000 0.5000
Pd9 0.5000 0.5000 0.8335

=====

- Which formula does entry 3 have?
  U2CdPd9